Entry 1:
A plane-wave DFT calculation with PBE was carried out for a geometry-optimized Tb4AlIr structure.

Cell: 8.861 13.416 5.993 Å, 90.00 114.41 90.00°
Space group C2/c (No. 15)
One atom of each set of equivalent atoms:
Tb1 0.116 0.176 0.073 x8
Tb2 0.212 0.430 0.330 x8
Al1 0.000 0.373 0.750 x4
Ir1 0.000 0.000 0.250 x4

Results
Calculated formation energy, eV per atom: -0.44
ΔE to the lowest computed polymorph, eV/atom: 0.087

Entry 2:
A plane-wave DFT calculation with PBE was carried out for a geometry-optimized HgAs2 structure.

Cell: 6.517 6.517 6.488 Å, 90.00 90.00 90.00°
Space group I4/mcm (No. 140)
One atom of each set of equivalent atoms:
Hg1 0.000 0.000 0.250 x4
As1 0.129 0.371 0.000 x8

Results
Calculated formation energy, eV per atom: 0.41

Entry 3:
A plane-wave DFT calculation with PBE was carried out for a geometry-optimized Y2AsOs structure.

Cell: 4.054 4.100 5.711 Å, 90.00 110.79 90.00°
Space group Pm (No. 6)
One atom of each set of equivalent atoms:
Y1 0.000 0.000 0.000 x1
Y2 0.278 0.500 0.558 x1
As1 0.567 0.500 0.134 x1
Os1 0.715 0.000 0.434 x1

Results
Calculated formation energy, eV per atom: -0.68
ΔE to the lowest computed polymorph, eV/atom: 0.000